Entry 1:
A relaxed Sm5HoPb5 crystal. Source: Alexandria, functional PBE.

Computed properties:
Space-group type ... C2/m (12)

Lattice parameters (Å, degrees): 8.632 8.632 7.480 102.93 102.93 43.18
Atoms (fractional coordinates):
1 Sm 0.000 0.000 0.000
2 Sm 0.333 0.333 0.174
3 Sm 0.338 0.338 0.677
4 Sm 0.662 0.662 0.323
5 Sm 0.667 0.667 0.826
6 Ho 0.000 0.000 0.500
7 Pb 0.165 0.165 0.837
8 Pb 0.166 0.166 0.344
9 Pb 0.500 0.500 0.500
10 Pb 0.834 0.834 0.656
11 Pb 0.835 0.835 0.163

Entry 2:
A relaxed DyV3 crystal. Source: Alexandria, functional PBE.

Computed properties:
Space-group type ... Pmm2 (25)

Lattice parameters (Å, degrees): 3.305 4.342 4.995 90.00 90.00 90.00
Atoms (fractional coordinates):
1 Dy 0.000 0.000 0.000
2 V 0.000 0.500 0.549
3 V 0.500 0.000 0.490
4 V 0.500 0.500 0.186

| no. | E (eV/atom) | magnetic moment (μB per formula unit) |
| --- | --- | --- |
| 1 | -4.556 | 0.5 |
| 2 | -7.507 | 0.0 |